1.
Material: NdDyAl6
Method: DFT, PBE-GGA
State: optimized geometry

a = 4.6576 Å, b = 6.3652 Å, c = 6.3652 Å
α = 119.96°, β = 90.00°, γ = 90.00°
With the nearest neighbours (Å) after each atom.
Atoms (fractional coordinates):
1 Dy 0.0000 0.0834 0.9166  12 Al 3.12-3.20
2 Al 0.0000 0.6073 0.3927  6 Al 2.72-2.82
3 Al 0.0000 0.6076 0.9650  6 Al 2.72-2.82
4 Al 0.5000 0.8952 0.1048  6 Al 2.77-2.82
5 Al 0.5000 0.8948 0.5401  6 Al 2.77-2.82
6 Al 0.0000 0.0350 0.3924  6 Al 2.72-2.82
7 Al 0.5000 0.4599 0.1052  6 Al 2.77-2.82
8 Nd 0.5000 0.4165 0.5835  12 Al 3.14-3.19

Output
Its volume is 20.4 A^3/atom. As for the formation energy: -0.434 eV per atom. As for the space group: P-6m2 (187).

2.
Material: La3Sm3MgS8
Method: DFT, PBE-GGA
State: optimized geometry

a = 8.0604 Å, b = 8.0605 Å, c = 8.1398 Å
α = 119.68°, β = 90.00°, γ = 120.00°
With the nearest neighbours (Å) after each atom.
Atoms (fractional coordinates):
1 S 0.2354 0.4708 0.7293  1 Mg 2.70, 2 Sm 2.83, 2 La 2.91
2 S 0.7467 0.4934 0.7401  3 Sm 2.83, 3 La 2.90
3 S 0.2355 0.9939 0.7294  1 Mg 2.70, 2 Sm 2.83, 2 La 2.91
4 S 0.7645 0.0061 0.2706  1 Mg 2.70, 2 Sm 2.83, 2 La 2.91
5 S 0.2416 0.0061 0.2707  1 Mg 2.70, 2 Sm 2.83, 2 La 2.91
6 S 0.7584 0.9939 0.7293  1 Mg 2.70, 2 Sm 2.83, 2 La 2.91
7 S 0.2533 0.5066 0.2599  3 Sm 2.83, 3 La 2.90
8 S 0.7646 0.5292 0.2707  1 Mg 2.70, 2 Sm 2.83, 2 La 2.91
9 Mg 0.0000 0.0000 0.5000  6 S 2.70
10 Sm 0.5000 0.0000 0.5000  6 S 2.83
11 Sm 0.5000 0.5000 0.5000  6 S 2.83
12 Sm 0.0000 0.5000 0.5000  6 S 2.83
13 La 0.5000 0.5000 0.0000  6 S 2.90-2.91
14 La 0.0000 0.5000 0.0000  6 S 2.90-2.91
15 La 0.0000 0.0000 0.0000  6 S 2.90-2.91

Output
Its volume is 25.1 A^3/atom. The value obtained for the formation energy (no corrections) is -2.0176 eV per atom. As for the space group: R-3m (166).

3.
Material: CsSc2BeCr
Method: DFT, PBE-GGA
State: optimized geometry

a = 5.0618 Å, b = 4.9027 Å, c = 5.0618 Å
α = 90.00°, β = 90.00°, γ = 90.00°
With the nearest neighbours (Å) after each atom.
Atoms (fractional coordinates):
1 Be 0.0000 0.5000 0.0000  2 Cr 2.45
2 Cs 0.5000 0.5000 0.5000  8 Sc 3.52, 4 Be 3.58
3 Cr 0.0000 0.0000 0.0000  2 Be 2.45, 4 Sc 2.53
4 Sc 0.5000 0.0000 0.0000  2 Cr 2.53
5 Sc 0.0000 0.0000 0.5000  2 Cr 2.53

Output
Its volume is 25.1 A^3/atom. As for the formation energy: 0.886 eV per atom. As for the space group: P4/mmm (123). Its energy above the most stable polymorph in this dataset is 0 meV per atom.

| no. | energy (eV/atom) | total magnetization (μB per atom) |
| --- | --- | --- |
| 1 | -4.4118 | 0.000 |
| 2 | -6.2545 | 0.000 |
| 3 | -4.4871 | 0.306 |